Entry 1:
YSi3Ni4 (PBE-GGA, relaxed); SG = Pm, No. 6; size of the total moment = 0.0013 μB per atom; DFT total energy = -0.2255 Ha/atom
1.0
5.014 0.000 0.000
0.000 3.847 0.000
-0.860 0.000 5.787
Y Si Ni
1 3 4
Direct
0.000 0.000 0.000
0.124 0.000 0.483
0.507 0.500 0.059
0.672 0.500 0.657
0.174 0.500 0.713
0.481 0.000 0.784
0.545 0.000 0.332
0.881 0.500 0.345



Entry 2:
SnW2 (PBE-GGA, relaxed); SG = Fd-3m, No. 227; size of the total moment = 0.0001 μB per atom; DFT total energy = -0.3435 Ha/atom
1.0
0.000 3.829 3.829
3.829 0.000 3.829
3.829 3.829 0.000
Sn W
2 4
Direct
0.125 0.125 0.125
0.875 0.875 0.875
0.000 0.500 0.500
0.500 0.000 0.500
0.500 0.500 0.000
0.500 0.500 0.500



Entry 3:
Mg2Zn2O5 (PBE-GGA, relaxed); SG = P4/mmm, No. 123; DFT total energy = -0.1699 Ha/atom
1.0
3.637 0.000 0.000
0.000 3.637 0.000
0.000 0.000 7.570
Mg Zn O
2 2 5
Direct
0.000 0.000 0.000
0.000 0.000 0.500
0.500 0.500 0.237
0.500 0.500 0.763
0.000 0.500 0.171
0.000 0.500 0.829
0.500 0.000 0.171
0.500 0.000 0.829
0.500 0.500 0.500



Entry 4:
Dy2Ho3Al3 (PBE-GGA, relaxed); SG = P-6m2, No. 187; size of the total moment = 0.0052 μB per atom; DFT total energy = -0.1616 Ha/atom
1.0
6.842 0.000 0.000
-3.421 5.926 0.000
0.000 0.000 5.126
Dy Ho Al
2 3 3
Direct
0.000 0.000 0.000
0.333 0.667 0.500
0.507 0.015 0.000
0.507 0.493 0.000
0.985 0.493 0.000
0.380 0.190 0.500
0.810 0.190 0.500
0.810 0.620 0.500



Entry 5:
Cu2HgIBr3 (PBE-GGA, relaxed); SG = P1, No. 1; DFT total energy = -0.0867 Ha/atom
1.0
6.048 0.000 0.000
-0.172 6.068 0.000
-2.795 -2.922 5.828
Cu Hg I Br
2 1 1 3
Direct
0.000 0.000 0.000
0.254 0.760 0.508
0.508 0.504 0.010
0.905 0.366 0.282
0.118 0.098 0.742
0.344 0.885 0.250
0.627 0.661 0.742



Entry 6:
LiHfSn2 (PBE-GGA, relaxed); SG = F-43m, No. 216; size of the total moment = 0.0035 μB per atom; DFT total energy = -0.1760 Ha/atom
1.0
7.109 0.000 0.000
0.000 7.109 0.000
0.000 0.000 7.109
Li Hf Sn
4 4 8
Direct
0.000 0.000 0.000
0.000 0.500 0.500
0.500 0.000 0.500
0.500 0.500 0.000
0.250 0.250 0.250
0.250 0.750 0.750
0.750 0.250 0.750
0.750 0.750 0.250
0.000 0.000 0.500
0.000 0.500 0.000
0.250 0.250 0.750
0.250 0.750 0.250
0.500 0.000 0.000
0.500 0.500 0.500
0.750 0.250 0.250
0.750 0.750 0.750



Entry 7:
LiPrHgO3 (PBE-GGA, relaxed); SG = Cmcm, No. 63; size of the total moment = 0.0001 μB per atom; DFT total energy = -0.1971 Ha/atom
1.0
1.757 -4.838 0.000
1.757 4.838 0.000
0.000 0.000 9.542
Li Pr Hg O
2 2 2 6
Direct
0.027 0.973 0.750
0.973 0.027 0.250
0.500 0.500 0.000
0.500 0.500 0.500
0.251 0.749 0.250
0.749 0.251 0.750
0.137 0.863 0.591
0.137 0.863 0.909
0.427 0.573 0.750
0.573 0.427 0.250
0.863 0.137 0.091
0.863 0.137 0.409



Entry 8:
PmBiCl2O2 (PBE-GGA, relaxed); SG = P4mm, No. 99; size of the total moment = 0.0002 μB per atom; DFT total energy = -0.2163 Ha/atom
1.0
3.974 0.000 0.000
0.000 3.974 0.000
0.000 0.000 7.018
Pm Bi Cl O
1 1 2 2
Direct
0.000 0.000 0.000
0.500 0.500 0.651
0.000 0.000 0.434
0.500 0.500 0.165
0.000 0.500 0.819
0.500 0.000 0.819



Entry 9:
Tm4Ni2Hg5 (PBE-GGA, relaxed); SG = P2/m, No. 10; size of the total moment = 0.0007 μB per atom; DFT total energy = -0.1187 Ha/atom; formation enthalpy at 0 K = -0.4540 eV/atom
1.0
7.470 0.000 0.000
0.000 3.545 0.000
-0.588 0.000 9.289
Tm Ni Hg
4 2 5
Direct
0.178 0.000 0.341
0.219 0.000 0.936
0.781 0.000 0.064
0.822 0.000 0.659
0.067 0.500 0.128
0.933 0.500 0.872
0.164 0.500 0.643
0.446 0.500 0.166
0.500 0.500 0.500
0.554 0.500 0.834
0.836 0.500 0.357



Entry 10:
LiAg3SnSe4 (PBE-GGA, relaxed); SG = P-43m, No. 215; DFT total energy = -0.1239 Ha/atom
1.0
6.306 0.000 0.000
0.000 6.306 0.000
0.000 0.000 6.306
Li Ag Sn Se
1 3 1 4
Direct
0.000 0.000 0.000
0.000 0.500 0.500
0.500 0.000 0.500
0.500 0.500 0.000
0.500 0.500 0.500
0.257 0.257 0.257
0.257 0.743 0.743
0.743 0.257 0.743
0.743 0.743 0.257



Entry 11:
BeZn2Cu5 (PBE-GGA, relaxed); SG = P4/mmm, No. 123; DFT total energy = -0.1153 Ha/atom
1.0
4.040 0.000 0.000
0.000 4.040 0.000
0.000 0.000 5.760
Be Zn Cu
1 2 5
Direct
0.000 0.000 0.000
0.000 0.000 0.500
0.500 0.500 0.000
0.000 0.500 0.238
0.000 0.500 0.762
0.500 0.000 0.238
0.500 0.000 0.762
0.500 0.500 0.500



Entry 12:
Mg3Sc2Zn3 (PBE-GGA, relaxed); SG = Pm, No. 6; size of the total moment = 0.0017 μB per atom; DFT total energy = -0.1039 Ha/atom
1.0
5.921 0.000 0.000
0.000 4.706 0.000
-2.596 0.000 5.452
Mg Sc Zn
3 2 3
Direct
0.000 0.000 0.000
0.193 0.500 0.306
0.493 0.000 0.008
0.667 0.500 0.786
0.995 0.000 0.509
0.173 0.500 0.810
0.494 0.000 0.493
0.689 0.500 0.306



Entry 13:
TmLuOs (PBE-GGA, relaxed); SG = F-43m, No. 216; size of the total moment = 0.0003 μB per atom; DFT total energy = -0.2235 Ha/atom; formation enthalpy at 0 K = 0.6602 eV/atom
1.0
6.588 0.000 0.000
0.000 6.588 0.000
0.000 0.000 6.588
Tm Lu Os
4 4 4
Direct
0.000 0.000 0.000
0.000 0.500 0.500
0.500 0.000 0.500
0.500 0.500 0.000
0.250 0.250 0.750
0.250 0.750 0.250
0.750 0.250 0.250
0.750 0.750 0.750
0.000 0.000 0.500
0.000 0.500 0.000
0.500 0.000 0.000
0.500 0.500 0.500



Entry 14:
SmNiP (PBE-GGA, relaxed); SG = P6_3/mmc, No. 194; size of the total moment = 0.0002 μB per atom; DFT total energy = -0.2358 Ha/atom
1.0
3.955 0.000 0.000
-1.977 3.425 0.000
0.000 0.000 15.816
Sm Ni P
4 4 4
Direct
0.000 0.000 0.000
0.000 0.000 0.250
0.000 0.000 0.500
0.000 0.000 0.750
0.333 0.667 0.126
0.333 0.667 0.374
0.667 0.333 0.626
0.667 0.333 0.874
0.333 0.667 0.624
0.333 0.667 0.876
0.667 0.333 0.124
0.667 0.333 0.376



Entry 15:
SrTmPO (PBE-GGA, relaxed); SG = P4/nmm, No. 129; size of the total moment = 0.0001 μB per atom; DFT total energy = -0.2225 Ha/atom
1.0
5.358 0.000 0.000
0.000 5.358 0.000
0.000 0.000 5.692
Sr Tm P O
2 2 2 2
Direct
0.250 0.250 0.002
0.750 0.750 0.998
0.250 0.750 0.500
0.750 0.250 0.500
0.250 0.250 0.502
0.750 0.750 0.498
0.250 0.750 0.000
0.750 0.250 0.000



Entry 16:
BaCuTeIr (PBE-GGA, relaxed); SG = F-43m, No. 216; size of the total moment = 0.0029 μB per atom; DFT total energy = -0.1521 Ha/atom
1.0
7.177 0.000 0.000
0.000 7.177 0.000
0.000 0.000 7.177
Ba Cu Te Ir
4 4 4 4
Direct
0.000 0.000 0.000
0.000 0.500 0.500
0.500 0.000 0.500
0.500 0.500 0.000
0.250 0.250 0.750
0.250 0.750 0.250
0.750 0.250 0.250
0.750 0.750 0.750
0.250 0.250 0.250
0.250 0.750 0.750
0.750 0.250 0.750
0.750 0.750 0.250
0.000 0.000 0.500
0.000 0.500 0.000
0.500 0.000 0.000
0.500 0.500 0.500



Entry 17:
InTe4WAu3 (PBE-GGA, relaxed); SG = P-43m, No. 215; size of the total moment = 0.2164 μB per atom; DFT total energy = -0.1481 Ha/atom
1.0
6.658 0.000 0.000
0.000 6.658 0.000
0.000 0.000 6.658
In Te W Au
1 4 1 3
Direct
0.000 0.000 0.000
0.270 0.270 0.270
0.270 0.730 0.730
0.730 0.270 0.730
0.730 0.730 0.270
0.500 0.500 0.500
0.000 0.500 0.500
0.500 0.000 0.500
0.500 0.500 0.000



Entry 18:
GaCuI3Cl (PBE-GGA, relaxed); SG = P1, No. 1; DFT total energy = -0.1000 Ha/atom
1.0
6.077 0.000 0.000
0.015 6.168 0.000
2.822 3.052 5.669
Ga Cu I Cl
1 1 3 1
Direct
0.000 0.000 0.000
0.238 0.755 0.485
0.371 0.886 0.736
0.626 0.629 0.252
0.871 0.376 0.741
0.108 0.082 0.239



Entry 19:
Sc2Ta4Sn3C3 (PBE-GGA, relaxed); SG = C2/c, No. 15; size of the total moment = 0.0002 μB per atom; DFT total energy = -0.3252 Ha/atom
1.0
4.876 -2.815 0.000
4.876 2.815 0.000
-3.285 0.000 14.245
Sc Ta Sn C
4 8 6 6
Direct
0.031 0.871 0.591
0.129 0.969 0.909
0.871 0.031 0.091
0.969 0.129 0.409
0.193 0.352 0.081
0.298 0.482 0.419
0.352 0.193 0.581
0.482 0.298 0.919
0.518 0.702 0.081
0.648 0.807 0.419
0.702 0.518 0.581
0.807 0.648 0.919
0.085 0.263 0.752
0.263 0.085 0.252
0.432 0.568 0.750
0.568 0.432 0.250
0.737 0.915 0.748
0.915 0.737 0.248
0.000 0.500 0.500
0.171 0.657 0.000
0.343 0.829 0.500
0.500 0.000 0.000
0.657 0.171 0.500
0.829 0.343 0.000



Entry 20:
SmPdO3 (PBE-GGA, relaxed); SG = Imma, No. 74; size of the total moment = 0.0001 μB per atom; DFT total energy = -0.2506 Ha/atom
1.0
-2.678 4.268 2.752
2.678 -4.268 2.752
2.678 4.268 -2.752
Sm Pd O
2 2 6
Direct
0.269 0.019 0.250
0.731 0.981 0.750
0.000 0.500 0.500
0.500 0.500 0.000
0.148 0.398 0.750
0.328 0.000 0.828
0.328 0.500 0.328
0.672 0.000 0.172
0.672 0.500 0.672
0.852 0.602 0.250